No. 1
# PBE-GGA Tb3Dy6Tl, relaxed
data_Tb3Dy6Tl
_cell_length_a 10.935
_cell_length_b 18.843
_cell_length_c 6.117
_cell_angle_alpha 90.00
_cell_angle_beta 90.00
_cell_angle_gamma 90.00
_symmetry_space_group_name_H-M 'C m c 21'
_symmetry_Int_Tables_number 36
loop_
_symmetry_equiv_pos_as_xyz
'x,y,z'
'-x,-y,z+1/2'
'-x,y,z'
'x,-y,z+1/2'
'x+1/2,y+1/2,z'
'-x+1/2,-y+1/2,z+1/2'
'-x+1/2,y+1/2,z'
'x+1/2,-y+1/2,z+1/2'
loop_
_atom_site_label
_atom_site_fract_x
_atom_site_fract_y
_atom_site_fract_z
_atom_site_occupancy
Tb1 0.000 0.108 0.000 1
Tb2 0.163 0.395 0.587 1
Dy1 0.000 0.232 0.382 1
Dy2 0.000 0.444 0.110 1
Dy3 0.162 0.051 0.523 1
Dy4 0.229 0.215 0.715 1
Tl1 0.000 0.289 0.910 1
# energy above the most stable polymorph in this dataset = 19 meV/atom

=====

No. 2
# PBE-GGA AcScS2, relaxed
data_AcScS2
_cell_length_a 3.8870
_cell_length_b 3.8870
_cell_length_c 21.1612
_cell_angle_alpha 90.00
_cell_angle_beta 90.00
_cell_angle_gamma 120.00
_symmetry_space_group_name_H-M 'R 3 m'
_symmetry_Int_Tables_number 160
_symmetry_space_group_name_Hall 'R 3 -2"'
loop_
_atom_site_label
_atom_site_fract_x
_atom_site_fract_y
_atom_site_fract_z
_atom_site_occupancy
Ac1 0.0000 0.0000 0.0000 1
Sc1 0.0000 0.0000 0.1755 1
S1 0.0000 0.0000 0.5713 1
S2 0.0000 0.0000 0.7691 1
# energy above the most stable polymorph in this dataset = 54 meV/atom
# raw formation energy = -1832 meV per atom

=====

No. 3
# PBE-GGA CeSmInPb, relaxed
data_CeSmInPb
_cell_length_a 5.046
_cell_length_b 5.046
_cell_length_c 9.053
_cell_angle_alpha 90.00
_cell_angle_beta 90.00
_cell_angle_gamma 90.00
_symmetry_space_group_name_H-M 'I -4 m 2'
_symmetry_Int_Tables_number 119
_symmetry_space_group_name_Hall 'I -4 -2'
loop_
_atom_site_label
_atom_site_fract_x
_atom_site_fract_y
_atom_site_fract_z
_atom_site_occupancy
Ce1 0.000 0.000 0.000 1
Sm1 0.000 0.000 0.500 1
In1 0.000 0.500 0.250 1
Pb1 0.000 0.500 0.750 1
# energy above the most stable polymorph in this dataset = 0 meV/atom

=====

No. 4
# PBE-GGA SiNiAsP, relaxed
data_SiNiAsP
_cell_length_a 6.150
_cell_length_b 3.550
_cell_length_c 6.479
_cell_angle_alpha 90.00
_cell_angle_beta 107.63
_cell_angle_gamma 90.00
_symmetry_space_group_name_H-M 'C 1 m 1'
_symmetry_Int_Tables_number 8
loop_
_symmetry_equiv_pos_as_xyz
'x,y,z'
'x,-y,z'
'x+1/2,y+1/2,z'
'x+1/2,-y+1/2,z'
loop_
_atom_site_label
_atom_site_fract_x
_atom_site_fract_y
_atom_site_fract_z
_atom_site_occupancy
Si1 0.000 0.000 0.000 1
Ni1 0.366 0.500 0.591 1
As1 0.137 0.000 0.397 1
P1 0.108 0.500 0.818 1
# energy above the most stable polymorph in this dataset = 148 meV/atom
# raw formation energy = -30 meV per atom

=====

No. 5
# PBE-GGA BaLiTl4In2, relaxed
data_BaLiTl4In2
_cell_length_a 5.2745
_cell_length_b 5.2745
_cell_length_c 29.4715
_cell_angle_alpha 90.00
_cell_angle_beta 90.00
_cell_angle_gamma 120.00
_symmetry_space_group_name_H-M 'R -3 m'
_symmetry_Int_Tables_number 166
_symmetry_space_group_name_Hall '-R 3 2"'
loop_
_atom_site_label
_atom_site_fract_x
_atom_site_fract_y
_atom_site_fract_z
_atom_site_occupancy
Ba1 0.0000 0.0000 0.0000 1
Li1 0.0000 0.0000 0.5000 1
Tl1 0.0000 0.0000 0.1339 1
Tl2 0.0000 0.0000 0.3956 1
In1 0.0000 0.0000 0.2454 1
# uncorrected energy = -61.382 eV for the cell shown

=====

No. 6
# PBE-GGA CsBe3Cl, relaxed
data_CsBe3Cl
_cell_length_a 6.916
_cell_length_b 6.916
_cell_length_c 6.916
_cell_angle_alpha 90.00
_cell_angle_beta 90.00
_cell_angle_gamma 90.00
_symmetry_space_group_name_H-M 'P m -3 m'
_symmetry_Int_Tables_number 221
_symmetry_space_group_name_Hall '-P 4 2 3'
loop_
_atom_site_label
_atom_site_fract_x
_atom_site_fract_y
_atom_site_fract_z
_atom_site_occupancy
Cs1 0.000 0.000 0.000 1
Be1 0.000 0.000 0.500 1
Cl1 0.500 0.500 0.500 1
# energy above the most stable polymorph in this dataset = 415 meV/atom
# raw formation energy = 1873 meV per atom

=====

No. 7
# PBE-GGA SrCe3Th2N6, relaxed
data_SrCe3Th2N6
_cell_length_a 15.825
_cell_length_b 3.630
_cell_length_c 7.277
_cell_angle_alpha 90.00
_cell_angle_beta 103.32
_cell_angle_gamma 90.00
_symmetry_space_group_name_H-M 'C 1 2/m 1'
_symmetry_Int_Tables_number 12
loop_
_symmetry_equiv_pos_as_xyz
'x,y,z'
'-x,-y,-z'
'-x,y,-z'
'x,-y,z'
'x+1/2,y+1/2,z'
'-x+1/2,-y+1/2,-z'
'-x+1/2,y+1/2,-z'
'x+1/2,-y+1/2,z'
loop_
_atom_site_label
_atom_site_fract_x
_atom_site_fract_y
_atom_site_fract_z
_atom_site_occupancy
Sr1 0.000 0.000 0.000 1
Ce1 0.000 0.000 0.500 1
Ce2 0.166 0.500 0.833 1
Th1 0.167 0.500 0.334 1
N1 0.003 0.500 0.277 1
N2 0.165 0.000 0.583 1
N3 0.174 0.000 0.088 1
# raw formation energy = -1416 meV per atom

=====

No. 8
# PBE-GGA Pu2US4, relaxed
data_Pu2US4
_cell_length_a 7.051
_cell_length_b 11.183
_cell_length_c 4.104
_cell_angle_alpha 90.00
_cell_angle_beta 90.00
_cell_angle_gamma 90.00
_symmetry_space_group_name_H-M 'P b a m'
_symmetry_Int_Tables_number 55
loop_
_symmetry_equiv_pos_as_xyz
'x,y,z'
'-x,-y,-z'
'-x,-y,z'
'x,y,-z'
'x+1/2,-y+1/2,-z'
'-x+1/2,y+1/2,z'
'-x+1/2,y+1/2,-z'
'x+1/2,-y+1/2,z'
loop_
_atom_site_label
_atom_site_fract_x
_atom_site_fract_y
_atom_site_fract_z
_atom_site_occupancy
Pu1 0.097 0.185 0.000 1
U1 0.000 0.500 0.500 1
S1 0.133 0.721 0.500 1
S2 0.245 0.450 0.000 1
# raw formation energy = -1612 meV per atom